This record from the Alexandria database describes a PBEsol-optimized structure of TlFe2Ag. The functional is meta-GGA SCAN. Values from VASP.

Results
- Density of states at the Fermi level: 0.596 states/eV/atom
- Volume: 62 Å³ per cell
- M_tot: 5.7 Bohr magnetons per cell
- ΔH_f (0 K): 0.46 eV per atom
- E: -138.1 eV/cell
- Space-group type: Cmmm (65)

```
&SYSTEM
  ibrav = 0, nat = 4, ntyp = 3
/
ATOMIC_SPECIES
Ag 107.87 Ag.upf
Fe 55.84 Fe.upf
Tl 204.38 Tl.upf
CELL_PARAMETERS angstrom
-2.608 0.928 -0.744
0.072 -2.862 -3.818
-1.895 -2.373 3.681
ATOMIC_POSITIONS angstrom
Ag -2.216 -2.154 -0.440
Fe 0.036 -1.431 -1.909
Fe -0.947 -1.186 1.841
Tl -1.304 0.464 -0.372
```

This record from the Alexandria database describes a PBEsol-optimized structure of ScMo2Ir. The functional is meta-GGA SCAN. Values from VASP.

Results
- Density of states at the Fermi level: 0.654 states/eV/atom
- Volume: 62 Å³ per cell
- M_tot: 0.0 Bohr magnetons per cell
- ΔH_f (0 K): -0.19 eV per atom
- E: -155.9 eV/cell
- Space-group type: C2/m (12)

```
&SYSTEM
  ibrav = 0, nat = 4, ntyp = 3
/
ATOMIC_SPECIES
Ir 192.22 Ir.upf
Mo 95.94 Mo.upf
Sc 44.96 Sc.upf
CELL_PARAMETERS angstrom
2.767 -0.004 0.000
-1.135 5.009 0.000
-0.816 -2.503 4.506
ATOMIC_POSITIONS angstrom
Ir -0.568 2.505 0.000
Mo -0.408 -1.251 2.253
Mo 0.408 1.251 2.253
Sc 1.384 -0.002 0.000
```

This record from the Alexandria database describes a PBEsol-optimized structure of Cd2GeRh2. The functional is meta-GGA SCAN. Values from VASP.

Results
- Density of states at the Fermi level: 0.474 states/eV/atom
- Volume: 169 Å³ per cell
- M_tot: 0.0 Bohr magnetons per cell
- ΔH_f (0 K): -0.37 eV per atom
- E: -298.6 eV/cell
- Space-group type: P4/mbm (127)

```
&SYSTEM
  ibrav = 0, nat = 10, ntyp = 3
/
ATOMIC_SPECIES
Ge 72.64 Ge.upf
Rh 102.91 Rh.upf
Cd 112.41 Cd.upf
CELL_PARAMETERS angstrom
-0.019 3.454 2.638
-4.593 2.541 -3.359
-4.212 -2.802 3.639
ATOMIC_POSITIONS angstrom
Ge 0.000 0.000 0.000
Ge -4.402 -0.131 0.140
Rh -5.180 -1.492 1.917
Rh -6.641 0.334 -0.484
Rh -3.624 1.231 -1.637
Rh -2.163 -0.595 0.764
Cd -3.515 0.284 3.183
Cd -6.578 1.045 2.165
Cd -5.307 2.908 -0.265
Cd -2.245 2.147 0.752
```

This record from the Alexandria database describes a PBEsol-optimized structure of BeCu2Se. The functional is meta-GGA SCAN. Values from VASP.

Results
- Density of states at the Fermi level: 0.239 states/eV/atom
- Volume: 54 Å³ per cell
- M_tot: 0.0 Bohr magnetons per cell
- E_form (uncorrected): 4.4 kJ per mole of atoms
- E: -54.6 eV/cell
- Space-group type: P-3m1 (164)

```
&SYSTEM
  ibrav = 0, nat = 4, ntyp = 3
/
ATOMIC_SPECIES
Be 9.01 Be.upf
Cu 63.55 Cu.upf
Se 78.96 Se.upf
CELL_PARAMETERS angstrom
3.674 0.005 -0.112
1.833 3.185 -0.112
0.141 0.082 4.616
ATOMIC_POSITIONS angstrom
Be 3.442 1.994 -0.139
Cu 5.393 3.124 3.610
Cu 1.631 0.945 0.726
Se 3.512 2.034 2.168
```

This record from the Alexandria database describes a PBEsol-optimized structure of SmCdB5O10. The functional is meta-GGA SCAN. Values from VASP.

Results
- Density of states at the Fermi level: 0.000 states/eV/atom
- Volume: 646 Å³ per cell
- M_tot: 0.0 Bohr magnetons per cell
- E_form (uncorrected): -263.5 kJ per mole of atoms
- E: -883.0 eV/cell
- Space-group type: P2_1/c (14)

```
&SYSTEM
  ibrav = 0, nat = 68, ntyp = 4
/
ATOMIC_SPECIES
Sm 150.36 Sm.upf
Cd 112.41 Cd.upf
B 10.81 B.upf
O 16.00 O.upf
CELL_PARAMETERS angstrom
7.884 0.000 0.000
0.000 8.574 0.038
0.000 0.382 9.560
ATOMIC_POSITIONS angstrom
Sm 6.466 1.910 7.289
Sm 2.524 2.949 7.070
Sm 1.418 7.045 2.309
Sm 5.361 6.006 2.528
Cd 4.695 5.472 8.339
Cd 0.752 7.961 6.058
Cd 3.190 3.483 1.259
Cd 7.132 0.994 3.540
B 3.368 8.152 7.224
B 6.484 3.770 0.919
B 2.541 0.708 3.880
B 1.401 5.186 8.679
B 5.343 8.247 5.718
B 0.833 3.131 4.902
B 4.775 1.728 9.457
B 7.052 5.824 4.697
B 3.109 7.227 0.141
B 7.310 5.281 7.173
B 4.517 0.803 2.374
B 0.574 3.674 2.425
B 5.333 4.345 5.715
B 1.390 0.514 8.644
B 2.552 4.610 3.883
B 6.494 8.441 0.954
B 3.704 6.401 5.356
B 7.646 7.032 9.041
B 4.181 2.554 4.242
B 0.238 1.923 0.557
O 6.270 4.260 6.888
O 2.629 4.578 8.810
O 6.572 0.281 5.549
O 5.255 4.377 0.788
O 1.313 8.674 4.049
O 4.424 2.463 8.373
O 0.482 2.396 5.986
O 3.460 6.492 1.225
O 2.328 0.600 7.471
O 7.402 6.559 3.612
O 5.557 8.356 2.127
O 1.614 4.696 2.710
O 3.690 7.431 8.474
O 7.632 6.002 5.923
O 4.195 1.524 1.124
O 0.253 2.954 3.675
O 4.606 8.775 6.757
O 0.664 4.658 7.641
O 3.278 0.181 2.842
O 7.220 4.297 1.957
O 2.856 7.204 6.229
O 6.798 6.229 8.168
O 5.028 1.751 3.369
O 1.086 2.726 1.430
O 4.190 5.205 6.115
O 0.248 8.228 8.282
O 3.695 3.750 3.483
O 7.637 0.727 1.316
O 4.850 2.967 5.508
O 0.908 1.892 8.851
O 3.034 5.988 4.090
O 6.940 2.747 0.128
O 6.041 4.876 4.547
O 2.099 8.175 0.291
O 1.843 4.079 5.051
O 5.786 0.780 9.307
O 4.887 7.225 4.927
O 0.945 6.208 9.470
O 2.997 1.730 4.671
O 6.976 7.063 0.747
```

This record from the Alexandria database describes a PBEsol-optimized structure of Cs2AgSbBr6. The functional is meta-GGA SCAN. Values from VASP.

Results
- Volume: 339 Å³ per cell
- M_tot: 0.0 Bohr magnetons per cell
- E_form (uncorrected): -115.3 kJ per mole of atoms
- E: -273.0 eV/cell
- Space-group type: Fm-3m (225)

```
&SYSTEM
  ibrav = 0, nat = 10, ntyp = 4
/
ATOMIC_SPECIES
Cs 132.91 Cs.upf
Ag 107.87 Ag.upf
Sb 121.76 Sb.upf
Br 79.90 Br.upf
CELL_PARAMETERS angstrom
7.830 0.000 0.000
3.915 6.781 0.000
3.915 2.260 6.393
ATOMIC_POSITIONS angstrom
Cs 11.745 6.781 4.795
Cs 3.915 2.260 1.598
Ag 7.830 4.520 3.196
Sb 0.000 0.000 0.000
Br 7.830 2.274 1.608
Br 9.775 5.644 1.608
Br 7.830 6.767 4.785
Br 9.775 3.397 4.785
Br 5.884 5.644 1.608
Br 5.884 3.397 4.785
```

This record from the Alexandria database describes a PBEsol-optimized structure of Ca3BiCl. The functional is meta-GGA SCAN. Values from VASP.

Results
- Density of states at the Fermi level: 1.038 states/eV/atom
- Volume: 143 Å³ per cell
- M_tot: 0.0 Bohr magnetons per cell
- E_form (uncorrected): -81.0 kJ per mole of atoms
- E: -119.7 eV/cell
- Space-group type: Pm-3m (221)

```
&SYSTEM
  ibrav = 0, nat = 5, ntyp = 3
/
ATOMIC_SPECIES
Ca 40.08 Ca.upf
Bi 208.98 Bi.upf
Cl 35.45 Cl.upf
CELL_PARAMETERS angstrom
-4.132 -2.220 -2.319
-0.184 -3.610 3.783
-3.205 3.069 2.772
ATOMIC_POSITIONS angstrom
Ca -0.092 -1.805 1.892
Ca -1.603 1.535 1.386
Ca -2.066 -1.110 -1.160
Bi -3.761 -1.380 2.118
Cl 0.000 0.000 0.000
```

This record from the Alexandria database describes a PBEsol-optimized structure of Mg4Hg. The functional is meta-GGA SCAN. Values from VASP.

Results
- Density of states at the Fermi level: 0.345 states/eV/atom
- Volume: 106 Å³ per cell
- M_tot: 0.0 Bohr magnetons per cell
- ΔH_f (0 K): -0.17 eV per atom
- E: -88.9 eV/cell
- Space-group type: I4/m (87)

```
&SYSTEM
  ibrav = 0, nat = 5, ntyp = 2
/
ATOMIC_SPECIES
Mg 24.30 Mg.upf
Hg 200.59 Hg.upf
CELL_PARAMETERS angstrom
4.250 0.000 0.000
2.125 5.000 0.000
2.125 0.000 5.000
ATOMIC_POSITIONS angstrom
Mg 6.376 3.014 4.012
Mg 2.125 1.987 0.988
Mg 4.250 0.988 3.014
Mg 4.250 4.012 1.987
Hg 0.000 0.000 0.000
```

This record from the Alexandria database describes a PBEsol-optimized structure of Tb2IrAu. The functional is meta-GGA SCAN. Values from VASP.

Results
- Density of states at the Fermi level: 0.500 states/eV/atom
- Volume: 83 Å³ per cell
- M_tot: 0.0 Bohr magnetons per cell
- ΔH_f (0 K): -1.01 eV per atom
- E: -237.8 eV/cell
- Space-group type: Fm-3m (225)

```
&SYSTEM
  ibrav = 0, nat = 4, ntyp = 3
/
ATOMIC_SPECIES
Au 196.97 Au.upf
Ir 192.22 Ir.upf
Tb 158.93 Tb.upf
CELL_PARAMETERS angstrom
4.904 0.000 0.000
2.452 4.247 0.000
2.452 1.416 4.004
ATOMIC_POSITIONS angstrom
Au 0.000 0.000 0.000
Ir 4.904 2.831 2.002
Tb 7.356 4.247 3.003
Tb 2.452 1.416 1.001
```

This record from the Alexandria database describes a PBEsol-optimized structure of In2Pd2Au. The functional is meta-GGA SCAN. Values from VASP.

Results
- Density of states at the Fermi level: 0.335 states/eV/atom
- Volume: 178 Å³ per cell
- M_tot: 0.0 Bohr magnetons per cell
- ΔH_f (0 K): -0.35 eV per atom
- E: -406.4 eV/cell
- Space-group type: P4/mbm (127)

```
&SYSTEM
  ibrav = 0, nat = 10, ntyp = 3
/
ATOMIC_SPECIES
Au 196.97 Au.upf
Pd 106.42 Pd.upf
In 114.82 In.upf
CELL_PARAMETERS angstrom
3.114 0.000 0.000
0.000 7.554 0.000
0.000 0.000 7.554
ATOMIC_POSITIONS angstrom
Au 0.000 0.000 0.000
Au 0.000 3.777 3.777
Pd 1.557 1.069 4.846
Pd 1.557 4.846 6.484
Pd 1.557 6.484 2.707
Pd 1.557 2.707 1.069
In 0.000 2.609 6.386
In 0.000 6.386 4.944
In 0.000 4.944 1.168
In 0.000 1.168 2.609
```

This record from the Alexandria database describes a PBEsol-optimized structure of Zr2ZnPt. The functional is meta-GGA SCAN. Values from VASP.

Results
- Density of states at the Fermi level: 0.938 states/eV/atom
- Volume: 71 Å³ per cell
- M_tot: 0.0 Bohr magnetons per cell
- ΔH_f (0 K): -0.71 eV per atom
- E: -148.0 eV/cell
- Space-group type: I4/mmm (139)

```
&SYSTEM
  ibrav = 0, nat = 4, ntyp = 3
/
ATOMIC_SPECIES
Pt 195.08 Pt.upf
Zn 65.41 Zn.upf
Zr 91.22 Zr.upf
CELL_PARAMETERS angstrom
4.205 0.000 0.000
0.000 4.205 0.000
-2.103 -2.103 3.991
ATOMIC_POSITIONS angstrom
Pt 0.000 0.000 0.000
Zn 2.103 2.103 0.000
Zr 2.103 0.000 1.996
Zr 0.000 2.103 1.996
```

This record from the Alexandria database describes a PBEsol-optimized structure of LaIn3Ir. The functional is meta-GGA SCAN. Values from VASP.

Results
- Density of states at the Fermi level: 0.764 states/eV/atom
- Volume: 131 Å³ per cell
- M_tot: 0.0 Bohr magnetons per cell
- ΔH_f (0 K): -0.33 eV per atom
- E: -216.0 eV/cell
- Space-group type: Pm-3m (221)

```
&SYSTEM
  ibrav = 0, nat = 5, ntyp = 3
/
ATOMIC_SPECIES
Ir 192.22 Ir.upf
In 114.82 In.upf
La 138.91 La.upf
CELL_PARAMETERS angstrom
5.073 0.000 0.000
0.000 5.073 0.000
0.000 0.000 5.073
ATOMIC_POSITIONS angstrom
Ir 0.000 0.000 0.000
In 0.000 2.537 0.000
In 0.000 0.000 2.537
In 2.537 0.000 0.000
La 2.537 2.537 2.537
```